Entry from OQMD: a geometry-optimized GdLuCu structure (GGA-PBE).

Its energy is -43.74 eV per cell. For the energy of formation, the calculation gives 1.96 eV per formula unit. The calculation puts the energy above the most stable polymorph in this dataset at 0 meV/atom.

The space group is F-43m (No. 216) and the conventional cell measures 6.6697, 6.6697 and 6.6697 Å, with angles of 90.00, 90.00 and 90.00 degrees. The inequivalent atoms are Gd at (0.0000, 0.0000, 0.0000), Lu at (0.2500, 0.2500, 0.7500) and Cu at (0.0000, 0.0000, 0.5000).